No. 1
CdNiBr2 | GGA-PBE | optimized geometry

Values from the calculation:
Fermi-level density of states ... 3.8 states/eV per cell
Polymorph energy (0 for the lowest one) ... 152 meV/atom
Raw total energy ... -10.4 eV/f.u.
Space group ... Cmm2
ΔE_f (raw) ... -88.8 meV per atom

Cell: 4.057 4.057 9.076 Å, 90.00 90.00 128.52°
Last column: magnetic moment on the atom in μB.
Sites, in units of the cell vectors:
Br 0.000 0.000 0.910  0.01
Br 0.500 0.500 0.312  -0.01
Cd 0.000 0.000 0.530  -0.01
Ni 0.500 0.500 0.748  0.15

No. 2
LaYSeO2 | GGA-PBE | optimized geometry

Values from the calculation:
Fermi-level density of states ... 0.0 states/eV per cell
Raw total energy ... -40.3 eV/f.u.
Space group ... P2_1/m
ΔE_f (raw) ... -3091.8 meV per atom

Cell: 4.128 6.699 7.848 Å, 108.29 90.00 90.00°
Sites, in units of the cell vectors:
La 0.250 0.691 0.928
La 0.750 0.309 0.072
Y 0.250 0.672 0.420
Y 0.750 0.328 0.580
Se 0.250 0.049 0.746
Se 0.750 0.951 0.254
O 0.750 0.513 0.387
O 0.250 0.487 0.613
O 0.750 0.516 0.872
O 0.250 0.484 0.128

No. 3
Dy2BiAu | GGA-PBE | optimized geometry

Values from the calculation:
Fermi-level density of states ... 3.5 states/eV per cell
Raw total energy ... -19.1 eV/f.u.
Space group ... P4/mmm
Formation energy ... -688 meV/atom

Cell: 3.840 3.840 7.103 Å, 90.00 90.00 90.00°
Sites, in units of the cell vectors:
Au 0.500 0.500 0.000
Bi 0.500 0.500 0.500
Dy 0.000 0.000 0.763
Dy 0.000 0.000 0.237

No. 4
Ge3SeS2 | GGA-PBE | optimized geometry

Values from the calculation:
Raw total energy ... -26.9 eV/f.u.
Space group ... P2_1/m
ΔE_f (raw) ... -215.0 meV per atom

Cell: 3.720 5.891 12.870 Å, 73.04 90.00 90.00°
Sites, in units of the cell vectors:
Ge 0.750 0.986 0.173
Ge 0.250 0.014 0.827
Ge 0.750 0.532 0.851
Ge 0.250 0.468 0.149
Ge 0.250 0.259 0.494
Ge 0.750 0.741 0.506
Se 0.250 0.732 0.287
Se 0.750 0.268 0.713
S 0.250 0.286 0.950
S 0.750 0.714 0.050
S 0.750 0.160 0.387
S 0.250 0.840 0.613

No. 5
RbFe2Ag | GGA-PBE | optimized geometry

Values from the calculation:
Fermi-level density of states ... 21.0 states/eV per cell
Polymorph energy (0 for the lowest one) ... 0 meV/atom
Raw total energy ... -16.7 eV/f.u.
Space group ... I4_1/amd
Formation energy ... 1023 meV/atom

Cell: 4.781 4.781 10.164 Å, 76.40 76.40 90.00°
Last column: magnetic moment on the atom in μB.
Sites, in units of the cell vectors:
Rb 0.500 0.500 0.000  -0.02
Rb 0.250 0.750 0.500  -0.02
Ag 0.000 0.000 0.000  0.03
Ag 0.750 0.250 0.500  0.03
Fe 0.875 0.125 0.250  2.92
Fe 0.875 0.625 0.250  2.91
Fe 0.375 0.125 0.750  2.93
Fe 0.875 0.125 0.750  2.92

No. 6
Dy8Sc2Hg | GGA-PBE | optimized geometry

Values from the calculation:
Fermi-level density of states ... 17.8 states/eV per cell
Raw total energy ... -49.7 eV/f.u.
Space group ... C2/m
Formation energy ... 9 meV/atom

Cell: 5.277 7.939 8.907 Å, 113.68 107.23 90.00°
Sites, in units of the cell vectors:
Dy 0.386 0.566 0.771
Dy 0.668 0.910 0.335
Dy 0.832 0.786 0.663
Dy 0.982 0.269 0.963
Dy 0.168 0.214 0.337
Dy 0.332 0.090 0.665
Dy 0.614 0.434 0.229
Dy 0.018 0.731 0.037
Sc 0.803 0.348 0.606
Sc 0.197 0.652 0.394
Hg 0.500 0.000 0.000

No. 7
NaTbP2O6 | GGA-PBE | optimized geometry

Values from the calculation:
Fermi-level density of states ... 0.0 states/eV per cell
Raw total energy ... -71.9 eV/f.u.
Space group ... C2/c
ΔE_f (raw) ... -2536.6 meV per atom

Cell: 6.452 6.452 8.058 Å, 104.82 104.82 115.15°
Sites, in units of the cell vectors:
Na 0.119 0.881 0.250
Na 0.881 0.119 0.750
Tb 0.533 0.467 0.250
Tb 0.467 0.533 0.750
P 0.328 0.009 0.756
P 0.991 0.672 0.744
P 0.672 0.991 0.244
P 0.009 0.328 0.256
O 0.919 0.515 0.276
O 0.485 0.081 0.224
O 0.081 0.485 0.724
O 0.515 0.919 0.776
O 0.077 0.279 0.086
O 0.721 0.923 0.414
O 0.923 0.721 0.914
O 0.279 0.077 0.586
O 0.257 0.418 0.425
O 0.582 0.743 0.075
O 0.743 0.582 0.575
O 0.418 0.257 0.925

No. 8
NaDy2F8 | GGA-PBE | optimized geometry

Values from the calculation:
Fermi-level density of states ... 15.1 states/eV per cell
Polymorph energy (0 for the lowest one) ... 58 meV/atom
Raw total energy ... -62.9 eV/f.u.
Space group ... C2/m
ΔE_f (raw) ... -3404.2 meV per atom

Cell: 3.944 7.115 6.907 Å, 102.06 90.00 106.09°
Last column: magnetic moment on the atom in μB.
Sites, in units of the cell vectors:
Na 0.500 0.000 0.000  0.00
F 0.418 0.836 0.252  0.20
F 0.735 0.470 0.095  0.02
F 0.801 0.603 0.460  0.03
F 0.902 0.804 0.866  0.22
F 0.199 0.397 0.540  0.03
F 0.265 0.530 0.905  0.02
F 0.582 0.164 0.748  0.20
F 0.098 0.196 0.134  0.22
Dy 0.738 0.477 0.742  -0.01
Dy 0.262 0.523 0.258  -0.01